# 1
First-principles (GGA-PBEsol) data for crystalline Ta3PdPt at its relaxed geometry, as listed in Alexandria via LeMat-Bulk.

Values from the calculation:
- calculated total energy (eV per atom) = -8.80
- D(E_F) (states/eV/atom) = 0.99
- space group = Pm-3m, No. 221
- total magnetic moment (μB/atom) = 0.000

Geometry as POSCAR:
```
Ta3PdPt
1.0
-0.9723 3.8777 -2.6311
-2.7650 -2.6442 -2.8753
-3.7834 0.9359 2.7775
Ta Pd Pt
3 1 1
Cartesian
-1.8917 0.4680 1.3888
-1.3825 -1.3221 -1.4377
-0.4861 1.9389 -1.3155
-3.7603 1.0847 -1.3644
0.0000 0.0000 0.0000
```

# 2
First-principles (GGA-PBEsol) data for crystalline TePdPt2 at its relaxed geometry, as listed in Alexandria via LeMat-Bulk.

Values from the calculation:
- calculated total energy (eV per atom) = -5.90
- D(E_F) (states/eV/atom) = 0.76
- space group = Fm-3m, No. 225
- formation energy from raw total energies (kJ/mol of formula units) = -16
- total magnetic moment (μB/atom) = 0.000

Geometry as POSCAR:
```
TePdPt2
1.0
-3.6665 2.4497 -1.1098
-4.1428 -1.4331 1.2082
-2.3192 2.2107 3.2265
Pd Te Pt
1 1 2
Cartesian
0.0000 0.0000 0.0000
-5.0643 1.6136 1.6624
-2.5321 0.8068 0.8312
-7.5964 2.4204 2.4937
```

# 3
First-principles (GGA-PBEsol) data for crystalline TiPd2Pt2 at its relaxed geometry, as listed in Alexandria via LeMat-Bulk.

Values from the calculation:
- calculated total energy (eV per atom) = -7.02
- D(E_F) (states/eV/atom) = 0.56
- space group = I4/mmm, No. 139
- total magnetic moment (μB/atom) = 0.000

Geometry as POSCAR:
```
TiPd2Pt2
1.0
3.5307 0.0000 0.0000
0.0000 3.5307 0.0000
-1.7654 -1.7654 6.5430
Pt Ti Pd
2 1 2
Cartesian
0.0000 0.0000 5.2834
1.7654 1.7654 1.2596
0.0000 0.0000 0.0000
0.0000 1.7654 3.2715
1.7654 0.0000 3.2715
```

# 4
First-principles (GGA-PBEsol) data for crystalline TlPdPt3 at its relaxed geometry, as listed in Alexandria via LeMat-Bulk.

Values from the calculation:
- calculated total energy (eV per atom) = -4.12
- D(E_F) (states/eV/atom) = 1.55
- space group = Pm-3m, No. 221
- total magnetic moment (μB/atom) = 0.000

Geometry as POSCAR:
```
TlPdPt3
1.0
-1.4759 4.6732 -0.2966
-2.7189 -1.1085 -3.9350
-3.8124 -1.0186 2.9212
Pt Pd Tl
3 1 1
Cartesian
-1.9062 -0.5093 1.4606
-1.3595 -0.5542 -1.9675
-0.7380 2.3366 -0.1483
-4.0036 1.2730 -0.6552
0.0000 0.0000 0.0000
```

# 5
First-principles (GGA-PBEsol) data for crystalline Tl2ZnPdPt at its relaxed geometry, as listed in Alexandria via LeMat-Bulk.

Values from the calculation:
- calculated total energy (eV per atom) = -3.44
- D(E_F) (states/eV/atom) = 0.42
- space group = P4/mmm, No. 123
- total magnetic moment (μB/atom) = 0.000

Geometry as POSCAR:
```
Tl2ZnPdPt
1.0
4.6397 0.0000 0.0000
0.0000 5.0695 0.0000
0.0000 0.0000 5.0695
Tl Zn Pt Pd
2 1 1 1
Cartesian
0.0000 2.5348 0.0000
0.0000 0.0000 2.5348
2.3199 0.0000 0.0000
2.3199 2.5348 2.5348
0.0000 0.0000 0.0000
```

# 6
First-principles (GGA-PBEsol) data for crystalline Zn2PdPt at its relaxed geometry, as listed in Alexandria via LeMat-Bulk.

Values from the calculation:
- calculated total energy (eV per atom) = -4.58
- D(E_F) (states/eV/atom) = 0.45
- space group = Fm-3m, No. 225
- total magnetic moment (μB/atom) = 0.000

Geometry as POSCAR:
```
Zn2PdPt
1.0
4.2735 0.0000 0.0000
2.1367 3.7009 0.0000
2.1367 1.2336 3.4893
Zn Pd Pt
2 1 1
Cartesian
6.4102 3.7009 2.6170
2.1367 1.2336 0.8723
0.0000 0.0000 0.0000
4.2735 2.4673 1.7446
```

# 7
First-principles (GGA-PBEsol) data for crystalline ZnPdPt at its relaxed geometry, as listed in Alexandria via LeMat-Bulk.

Values from the calculation:
- calculated total energy (eV per atom) = -5.26
- D(E_F) (states/eV/atom) = 0.52
- space group = Pm, No. 6
- total magnetic moment (μB/atom) = 0.000

Geometry as POSCAR:
```
ZnPdPt
1.0
-0.5203 0.7087 2.6582
-3.9376 -2.3275 -0.1501
3.8836 -5.0009 2.0935
Zn Pt Pd
2 2 2
Cartesian
-0.2625 -0.5605 1.5725
-1.1486 -3.6900 2.2335
1.2418 -4.6259 2.9509
1.0049 -2.7175 0.9212
-1.8904 -2.2399 0.2272
-0.4580 -6.1520 1.5506
```

# 8
First-principles (GGA-PBEsol) data for crystalline Zr2PdPt2 at its relaxed geometry, as listed in Alexandria via LeMat-Bulk.

Values from the calculation:
- calculated total energy (eV per atom) = -8.53
- D(E_F) (states/eV/atom) = 0.52
- space group = P4/mbm, No. 127
- total magnetic moment (μB/atom) = 0.000

Geometry as POSCAR:
```
Zr2PdPt2
1.0
3.3656 0.0000 0.0000
0.0000 7.3134 0.0000
0.0000 0.0000 7.3134
Pt Zr Pd
4 4 2
Cartesian
0.0000 4.6311 0.9744
0.0000 2.6823 6.3390
0.0000 6.3390 4.6311
0.0000 0.9744 2.6823
1.6828 4.9016 6.0685
1.6828 6.0685 2.4118
1.6828 2.4118 1.2449
1.6828 1.2449 4.9016
0.0000 3.6567 3.6567
0.0000 0.0000 0.0000
```

# 9
First-principles (GGA-PBEsol) data for crystalline RbRe2Pd at its relaxed geometry, as listed in Alexandria via LeMat-Bulk.

Values from the calculation:
- calculated total energy (eV per atom) = -6.27
- D(E_F) (states/eV/atom) = 1.22
- space group = Fm-3m, No. 225
- total magnetic moment (μB/atom) = 0.000

Geometry as POSCAR:
```
RbRe2Pd
1.0
4.5438 0.0000 0.0000
2.2719 3.9350 0.0000
2.2719 1.3117 3.7100
Re Rb Pd
2 1 1
Cartesian
6.8157 3.9350 2.7825
2.2719 1.3117 0.9275
0.0000 0.0000 0.0000
4.5438 2.6234 1.8550
```

# 10
First-principles (GGA-PBEsol) data for crystalline Rb3RePd at its relaxed geometry, as listed in Alexandria via LeMat-Bulk.

Values from the calculation:
- calculated total energy (eV per atom) = -2.59
- D(E_F) (states/eV/atom) = 2.98
- space group = Pm-3m, No. 221
- total magnetic moment (μB/atom) = 0.786

Geometry as POSCAR:
```
Rb3RePd
1.0
6.3376 0.0000 0.0000
0.0000 6.3376 0.0000
0.0000 0.0000 6.3376
Re Rb Pd
1 3 1
Cartesian
0.0000 0.0000 0.0000
3.1688 0.0000 0.0000
0.0000 0.0000 3.1688
0.0000 3.1688 0.0000
3.1688 3.1688 3.1688
```

# 11
First-principles (GGA-PBEsol) data for crystalline RbRePdS2 at its relaxed geometry, as listed in Alexandria via LeMat-Bulk.

Values from the calculation:
- calculated total energy (eV per atom) = -5.16
- D(E_F) (states/eV/atom) = 0.59
- space group = P4/mmm, No. 123
- formation energy from raw total energies (kJ/mol of formula units) = 315
- total magnetic moment (μB/atom) = 0.000

Geometry as POSCAR:
```
RbRePdS2
1.0
-4.3754 0.7661 0.4569
-0.8774 -3.2848 -2.8949
-0.2364 -4.3080 4.9599
S Rb Pd Re
2 1 1 1
Cartesian
-2.1877 0.3831 0.2284
-0.4387 -1.6424 -1.4474
-0.1182 -2.1540 2.4799
-2.7446 -3.4134 1.2609
0.0000 0.0000 0.0000
```

# 12
First-principles (GGA-PBEsol) data for crystalline RbSn2PdRh at its relaxed geometry, as listed in Alexandria via LeMat-Bulk.

Values from the calculation:
- calculated total energy (eV per atom) = -4.61
- D(E_F) (states/eV/atom) = 1.12
- space group = P4/mmm, No. 123
- total magnetic moment (μB/atom) = 0.001

Geometry as POSCAR:
```
RbSn2PdRh
1.0
4.9472 0.0000 0.0000
0.0000 4.9472 0.0000
0.0000 0.0000 5.3922
Sn Rh Pd Rb
2 1 1 1
Cartesian
2.4736 0.0000 0.0000
0.0000 2.4736 0.0000
0.0000 0.0000 0.0000
0.0000 0.0000 2.6961
2.4736 2.4736 2.6961
```